No. 1
# AcY2Ho (PBE, optimized geometry)
# Space-group type = R3m, No. 160
data_AcY2Ho
_space_group_name_H-M_alt 'P 1'
_space_group_IT_number 1
_cell_length_a 3.695
_cell_length_b 3.695
_cell_length_c 35.449
_cell_angle_alpha 90.00
_cell_angle_beta 90.00
_cell_angle_gamma 120.00
loop_
_space_group_symop_operation_xyz
'x,y,z'
loop_
_atom_site_label
_atom_site_type_symbol
_atom_site_fract_x
_atom_site_fract_y
_atom_site_fract_z
_atom_site_occupancy
Ac1 Ac 0.000 0.000 0.000 1
Ac2 Ac 0.333 0.667 0.667 1
Ac3 Ac 0.667 0.333 0.333 1
Y1 Y 0.000 0.000 0.246 1
Y2 Y 0.000 0.000 0.421 1
Y3 Y 0.333 0.667 0.088 1
Y4 Y 0.333 0.667 0.913 1
Y5 Y 0.667 0.333 0.580 1
Y6 Y 0.667 0.333 0.755 1
Ho1 Ho 0.000 0.000 0.834 1
Ho2 Ho 0.333 0.667 0.501 1
Ho3 Ho 0.667 0.333 0.167 1

=====

No. 2
# AcYHo3 (PBE, optimized geometry)
# Space-group type = Cmc2_1, No. 36
data_AcYHo3
_space_group_name_H-M_alt 'P 1'
_space_group_IT_number 1
_cell_length_a 9.180
_cell_length_b 9.180
_cell_length_c 7.102
_cell_angle_alpha 90.00
_cell_angle_beta 90.00
_cell_angle_gamma 145.43
loop_
_space_group_symop_operation_xyz
'x,y,z'
loop_
_atom_site_label
_atom_site_type_symbol
_atom_site_fract_x
_atom_site_fract_y
_atom_site_fract_z
_atom_site_occupancy
Ac1 Ac 0.198 0.802 0.500 1
Ac2 Ac 0.802 0.198 0.000 1
Y1 Y 0.400 0.600 0.256 1
Y2 Y 0.600 0.400 0.756 1
Ho1 Ho 0.001 0.999 0.001 1
Ho2 Ho 0.189 0.811 0.000 1
Ho3 Ho 0.399 0.601 0.745 1
Ho4 Ho 0.601 0.399 0.245 1
Ho5 Ho 0.811 0.189 0.500 1
Ho6 Ho 0.999 0.001 0.501 1

=====

No. 3
# AcY2Ho12 (PBE, optimized geometry)
# Space-group type = P2/m, No. 10
data_AcY2Ho12
_space_group_name_H-M_alt 'P 1'
_space_group_IT_number 1
_cell_length_a 3.590
_cell_length_b 5.579
_cell_length_c 24.376
_cell_angle_alpha 90.00
_cell_angle_beta 94.17
_cell_angle_gamma 90.00
loop_
_space_group_symop_operation_xyz
'x,y,z'
loop_
_atom_site_label
_atom_site_type_symbol
_atom_site_fract_x
_atom_site_fract_y
_atom_site_fract_z
_atom_site_occupancy
Ac1 Ac 0.000 0.000 0.000 1
Y1 Y 0.361 0.000 0.725 1
Y2 Y 0.639 0.000 0.275 1
Ho1 Ho 0.074 0.000 0.143 1
Ho2 Ho 0.105 0.500 0.205 1
Ho3 Ho 0.167 0.500 0.333 1
Ho4 Ho 0.213 0.000 0.427 1
Ho5 Ho 0.278 0.500 0.554 1
Ho6 Ho 0.458 0.500 0.921 1
Ho7 Ho 0.542 0.500 0.079 1
Ho8 Ho 0.722 0.500 0.446 1
Ho9 Ho 0.787 0.000 0.573 1
Ho10 Ho 0.833 0.500 0.667 1
Ho11 Ho 0.895 0.500 0.795 1
Ho12 Ho 0.926 0.000 0.857 1

=====

No. 4
# Ac8Y4Ho (PBE, optimized geometry)
# Space-group type = R-3m, No. 166
data_Ac8Y4Ho
_space_group_name_H-M_alt 'P 1'
_space_group_IT_number 1
_cell_length_a 8.333
_cell_length_b 8.333
_cell_length_c 8.333
_cell_angle_alpha 90.04
_cell_angle_beta 90.04
_cell_angle_gamma 90.04
loop_
_space_group_symop_operation_xyz
'x,y,z'
loop_
_atom_site_label
_atom_site_type_symbol
_atom_site_fract_x
_atom_site_fract_y
_atom_site_fract_z
_atom_site_occupancy
Ac1 Ac 0.243 0.243 0.243 1
Ac2 Ac 0.243 0.243 0.757 1
Ac3 Ac 0.243 0.757 0.243 1
Ac4 Ac 0.243 0.757 0.757 1
Ac5 Ac 0.757 0.243 0.243 1
Ac6 Ac 0.757 0.243 0.757 1
Ac7 Ac 0.757 0.757 0.243 1
Ac8 Ac 0.757 0.757 0.757 1
Y1 Y 0.000 0.000 0.000 1
Y2 Y 0.000 0.500 0.500 1
Y3 Y 0.500 0.000 0.500 1
Y4 Y 0.500 0.500 0.000 1
Ho1 Ho 0.500 0.500 0.500 1

=====

Summary of calculated formation energy in kcal/mol of atoms
1.4, 2.7, 2.6, 9.3
(order as listed above)
Summary of calculated total energy in eV per atom
-5.341, -4.746, -4.686, -4.466
(order as listed above)